SmHo3Tm6Th2 | PBE | relaxed

Geometry as POSCAR:
```
SmHo3Tm6Th2
1.0
6.1207 0.0014 -0.0035
-3.0576 5.3022 -0.0035
-1.0170 -1.7609 11.4375
Sm Ho Tm Th
1 3 6 2
Cartesian
0.0000 0.0000 0.0000
-2.0391 3.5399 5.7153
4.0852 0.0029 5.7153
1.0230 1.7714 5.7153
3.0754 1.7465 8.5830
2.0314 3.5173 2.8461
-1.0293 1.7963 2.8476
-0.0242 3.5366 8.5830
0.0147 0.0254 8.5844
2.0703 0.0062 2.8476
0.0012 3.5357 -0.0035
3.0619 1.7680 -0.0035
```

Calculated values
magnetic moment = 0.00 μB/cell
symmetry = C2/m
DFT formation energy = 30 meV/atom